Arrangement i

The following is a PBE calculation of a relaxed CdSbW2 crystal, from the Alexandria database.

a b c (Å): 4.066 4.066 4.487
angles (deg): 90.00 90.00 90.00
Sites, in units of the cell vectors:
1 Cd 0.000 0.000 0.000
2 Sb 0.500 0.500 0.000
3 W 0.000 0.500 0.500
4 W 0.500 0.000 0.500

Its density of states at the Fermi level is 3.8 states/eV/f.u. Its total moment is 0.0 μB/cell.


Arrangement ii

The following is a PBE calculation of a relaxed CdSbW2 crystal, from the Alexandria database.

a b c (Å): 5.506 5.506 5.506
angles (deg): 143.94 128.98 64.06
Sites, in units of the cell vectors:
1 Cd 0.000 0.000 0.000
2 Sb 0.273 0.773 0.500
3 W 0.519 0.519 0.000
4 W 0.733 0.233 0.500

Its density of states at the Fermi level is 2.5 states/eV/f.u. Its total moment is 0.0 μB/cell.


Arrangement iii

The following is a PBE calculation of a relaxed CdSbW2 crystal, from the Alexandria database.

a b c (Å): 5.112 5.112 4.856
angles (deg): 96.53 96.53 37.30
Sites, in units of the cell vectors:
1 Cd 0.000 0.000 0.000
2 Sb 0.500 0.500 0.500
3 W 0.255 0.255 0.782
4 W 0.745 0.745 0.218

Its density of states at the Fermi level is 1.8 states/eV/f.u. Its total moment is 0.0 μB/cell.


Structures ranked by computed energy, the most stable listed first: arrangement ii, arrangement iii, arrangement i.


Arrangement i

The following is a PBE calculation of a relaxed CdSbW2 crystal, from the Alexandria database.

a b c (Å): 3.231 3.231 7.051
angles (deg): 90.00 90.00 90.00
Sites, in units of the cell vectors:
1 Cd 0.000 0.000 0.000
2 Sb 0.000 0.000 0.500
3 W 0.500 0.500 0.272
4 W 0.500 0.500 0.728

Its density of states at the Fermi level is 5.1 states/eV/f.u. Its total moment is 0.0 μB/cell.


Arrangement ii

The following is a PBE calculation of a relaxed CdSbW2 crystal, from the Alexandria database.

a b c (Å): 3.326 4.682 4.782
angles (deg): 90.00 90.00 90.00
Sites, in units of the cell vectors:
1 Cd 0.000 0.000 0.000
2 Sb 0.500 0.000 0.500
3 W 0.000 0.500 0.500
4 W 0.500 0.500 0.000

Its density of states at the Fermi level is 3.4 states/eV/f.u. Its total moment is 0.0 μB/cell.


Structures ranked by computed energy, the most stable listed first: arrangement ii, arrangement i.


Arrangement i

The following is a PBE calculation of a relaxed CdSbW2 crystal, from the Alexandria database.

a b c (Å): 9.602 9.602 9.602
angles (deg): 19.03 19.03 19.03
Sites, in units of the cell vectors:
1 Cd 0.000 0.000 0.000
2 Sb 0.769 0.769 0.769
3 W 0.247 0.247 0.247
4 W 0.517 0.517 0.517

Its density of states at the Fermi level is 2.3 states/eV/f.u. Its total moment is 0.0 μB/cell.


Arrangement ii

The following is a PBE calculation of a relaxed CdSbW2 crystal, from the Alexandria database.

a b c (Å): 5.218 5.218 5.041
angles (deg): 107.36 107.36 36.67
Sites, in units of the cell vectors:
1 Cd 0.000 0.000 0.000
2 Sb 0.222 0.222 0.680
3 W 0.456 0.456 0.459
4 W 0.761 0.761 0.211

Its density of states at the Fermi level is 2.8 states/eV/f.u. Its total moment is 0.0 μB/cell.


Arrangement iii

The following is a PBE calculation of a relaxed CdSbW2 crystal, from the Alexandria database.

a b c (Å): 5.312 5.312 5.312
angles (deg): 134.83 134.83 65.79
Sites, in units of the cell vectors:
1 Cd 0.000 0.000 0.000
2 Sb 0.500 0.500 0.000
3 W 0.250 0.750 0.500
4 W 0.750 0.250 0.500

Its density of states at the Fermi level is 4.3 states/eV/f.u. Its total moment is 0.0 μB/cell.


Arrangement iv

The following is a PBE calculation of a relaxed CdSbW2 crystal, from the Alexandria database.

a b c (Å): 5.497 5.497 5.497
angles (deg): 144.71 128.25 64.19
Sites, in units of the cell vectors:
1 Cd 0.000 0.000 0.000
2 Sb 0.500 0.500 0.000
3 W 0.261 0.761 0.500
4 W 0.739 0.239 0.500

Its density of states at the Fermi level is 3.2 states/eV/f.u. Its total moment is 0.0 μB/cell.


Structures ranked by computed energy, the most stable listed first: arrangement i, arrangement ii, arrangement iv, arrangement iii.


Arrangement i

The following is a PBE calculation of a relaxed CdSbW2 crystal, from the Alexandria database.

a b c (Å): 2.930 2.930 9.238
angles (deg): 90.00 90.00 109.23
Sites, in units of the cell vectors:
1 Cd 0.000 0.000 0.000
2 Sb 0.000 0.000 0.500
3 W 0.500 0.500 0.260
4 W 0.500 0.500 0.740

Its density of states at the Fermi level is 2.9 states/eV/f.u. Its total moment is 0.0 μB/cell.


Arrangement ii

The following is a PBE calculation of a relaxed CdSbW2 crystal, from the Alexandria database.

a b c (Å): 10.518 10.518 10.518
angles (deg): 158.09 158.09 31.18
Sites, in units of the cell vectors:
1 Cd 0.000 0.000 0.000
2 Cd 0.750 0.250 0.500
3 Sb 0.250 0.750 0.500
4 Sb 0.500 0.500 0.000
5 W 0.088 0.625 0.963
6 W 0.375 0.338 0.463
7 W 0.662 0.125 0.037
8 W 0.875 0.912 0.537

Its density of states at the Fermi level is 1.5 states/eV/f.u. Its total moment is 0.0 μB/cell.


Arrangement iii

The following is a PBE calculation of a relaxed CdSbW2 crystal, from the Alexandria database.

a b c (Å): 2.924 2.924 10.644
angles (deg): 90.00 90.00 112.59
Sites, in units of the cell vectors:
1 Cd 0.000 0.000 0.000
2 Sb 0.500 0.500 0.345
3 W 0.000 0.000 0.573
4 W 0.500 0.500 0.764

Its density of states at the Fermi level is 1.5 states/eV/f.u. Its total moment is 0.0 μB/cell.


Structures ranked by computed energy, the most stable listed first: arrangement iii, arrangement i, arrangement ii.


Arrangement i

The following is a PBE calculation of a relaxed CdSbW2 crystal, from the Alexandria database.

a b c (Å): 4.678 4.678 4.678
angles (deg): 60.00 60.00 60.00
Sites, in units of the cell vectors:
1 Cd 0.000 0.000 0.000
2 Sb 0.500 0.500 0.500
3 W 0.250 0.250 0.250
4 W 0.750 0.750 0.750

Its density of states at the Fermi level is 2.5 states/eV/f.u. Its total moment is 0.0 μB/cell.


Arrangement ii

The following is a PBE calculation of a relaxed CdSbW2 crystal, from the Alexandria database.

a b c (Å): 9.372 9.372 9.372
angles (deg): 18.74 18.74 18.74
Sites, in units of the cell vectors:
1 Cd 0.000 0.000 0.000
2 Sb 0.500 0.500 0.500
3 W 0.246 0.246 0.246
4 W 0.754 0.754 0.754

Its density of states at the Fermi level is 2.9 states/eV/f.u. Its total moment is 0.0 μB/cell.


Arrangement iii

The following is a PBE calculation of a relaxed CdSbW2 crystal, from the Alexandria database.

a b c (Å): 5.117 5.117 5.117
angles (deg): 131.67 131.67 70.74
Sites, in units of the cell vectors:
1 Cd 0.000 0.000 0.000
2 Sb 0.250 0.750 0.500
3 W 0.500 0.500 0.000
4 W 0.750 0.250 0.500

Its density of states at the Fermi level is 3.0 states/eV/f.u. Its total moment is 0.0 μB/cell.


Arrangement iv

The following is a PBE calculation of a relaxed CdSbW2 crystal, from the Alexandria database.

a b c (Å): 5.263 5.263 2.925
angles (deg): 90.00 90.00 113.70
Sites, in units of the cell vectors:
1 Cd 0.000 0.000 0.000
2 Sb 0.500 0.500 0.000
3 W 0.000 0.500 0.500
4 W 0.500 0.000 0.500

Its density of states at the Fermi level is 4.4 states/eV/f.u. Its total moment is 0.0 μB/cell.


Structures ranked by computed energy, the most stable listed first: arrangement ii, arrangement iii, arrangement i, arrangement iv.


Arrangement i

The following is a PBE calculation of a relaxed CdSbW2 crystal, from the Alexandria database.

a b c (Å): 3.141 4.051 6.034
angles (deg): 90.00 90.00 90.00
Sites, in units of the cell vectors:
1 Cd 0.000 0.000 0.000
2 Sb 0.000 0.000 0.500
3 W 0.500 0.500 0.291
4 W 0.500 0.500 0.709

Its density of states at the Fermi level is 2.7 states/eV/f.u. Its total moment is 0.0 μB/cell.


Arrangement ii

The following is a PBE calculation of a relaxed CdSbW2 crystal, from the Alexandria database.

a b c (Å): 3.244 3.244 8.089
angles (deg): 90.00 90.00 90.00
Sites, in units of the cell vectors:
1 Cd 0.000 0.000 0.000
2 Sb 0.500 0.500 0.362
3 W 0.000 0.000 0.596
4 W 0.500 0.500 0.759

Its density of states at the Fermi level is 2.1 states/eV/f.u. Its total moment is 0.0 μB/cell.


Arrangement iii

The following is a PBE calculation of a relaxed CdSbW2 crystal, from the Alexandria database.

a b c (Å): 3.245 8.286 8.286
angles (deg): 22.57 90.00 90.00
Sites, in units of the cell vectors:
1 Cd 0.000 0.000 0.000
2 Sb 0.500 0.182 0.182
3 W 0.000 0.799 0.799
4 W 0.500 0.379 0.379

Its density of states at the Fermi level is 2.4 states/eV/f.u. Its total moment is 0.0 μB/cell.


Arrangement iv

The following is a PBE calculation of a relaxed CdSbW2 crystal, from the Alexandria database.

a b c (Å): 4.728 4.728 4.728
angles (deg): 60.00 60.00 60.00
Sites, in units of the cell vectors:
1 Cd 0.000 0.000 0.000
2 Sb 0.750 0.750 0.750
3 W 0.250 0.250 0.250
4 W 0.500 0.500 0.500

Its density of states at the Fermi level is 2.6 states/eV/f.u. Its total moment is 0.0 μB/cell.


Structures ranked by computed energy, the most stable listed first: arrangement iii, arrangement ii, arrangement iv, arrangement i.


Arrangement i

The following is a PBE calculation of a relaxed Cd3SbW crystal, from the Alexandria database.

a b c (Å): 5.532 5.532 5.532
angles (deg): 90.00 90.00 90.00
Sites, in units of the cell vectors:
1 Cd 0.000 0.000 0.500
2 Cd 0.000 0.500 0.000
3 Cd 0.500 0.000 0.000
4 Sb 0.000 0.000 0.000
5 W 0.500 0.500 0.500

Its density of states at the Fermi level is 3.1 states/eV/f.u. Its total moment is 4.4 μB/cell.


Arrangement ii

The following is a PBE calculation of a relaxed Cd3SbW crystal, from the Alexandria database.

a b c (Å): 5.295 5.295 5.295
angles (deg): 90.00 90.00 90.00
Sites, in units of the cell vectors:
1 Cd 0.000 0.000 0.500
2 Cd 0.000 0.500 0.000
3 Cd 0.500 0.000 0.000
4 Sb 0.500 0.500 0.500
5 W 0.000 0.000 0.000

Its density of states at the Fermi level is 3.9 states/eV/f.u. Its total moment is 0.6 μB/cell.


Structures ranked by computed energy, the most stable listed first: arrangement ii, arrangement i.


Arrangement i

The following is a PBE calculation of a relaxed CdSb3W crystal, from the Alexandria database.

a b c (Å): 5.384 5.384 5.384
angles (deg): 90.00 90.00 90.00
Sites, in units of the cell vectors:
1 Cd 0.000 0.000 0.000
2 Sb 0.000 0.000 0.500
3 Sb 0.000 0.500 0.000
4 Sb 0.500 0.000 0.000
5 W 0.500 0.500 0.500

Its density of states at the Fermi level is 3.7 states/eV/f.u. Its total moment is 3.4 μB/cell.


Arrangement ii

The following is a PBE calculation of a relaxed CdSb3W crystal, from the Alexandria database.

a b c (Å): 5.293 5.293 5.293
angles (deg): 90.00 90.00 90.00
Sites, in units of the cell vectors:
1 Cd 0.000 0.000 0.000
2 Sb 0.000 0.500 0.500
3 Sb 0.500 0.000 0.500
4 Sb 0.500 0.500 0.000
5 W 0.500 0.500 0.500

Its density of states at the Fermi level is 4.8 states/eV/f.u. Its total moment is 0.0 μB/cell.


Structures ranked by computed energy, the most stable listed first: arrangement ii, arrangement i.


Arrangement i

The following is a PBE calculation of a relaxed YCdSb crystal, from the Alexandria database.

a b c (Å): 4.633 4.633 4.386
angles (deg): 90.00 90.00 120.00
Sites, in units of the cell vectors:
1 Y 0.000 0.000 0.000
2 Cd 0.667 0.333 0.341
3 Sb 0.333 0.667 0.601

Its density of states at the Fermi level is 0.4 states/eV/f.u. Its total moment is 0.0 μB/cell.


Arrangement ii

The following is a PBE calculation of a relaxed YCdSb crystal, from the Alexandria database.

a b c (Å): 5.577 5.577 5.577
angles (deg): 136.40 136.40 63.37
Sites, in units of the cell vectors:
1 Y 0.000 0.000 0.000
2 Cd 0.326 0.326 0.000
3 Sb 0.646 0.646 0.000

Its density of states at the Fermi level is 2.5 states/eV/f.u. Its total moment is 0.0 μB/cell.


Structures ranked by computed energy, the most stable listed first: arrangement i, arrangement ii.


Arrangement i

The following is a PBE calculation of a relaxed YCdSb crystal, from the Alexandria database.

a b c (Å): 5.897 5.897 7.676
angles (deg): 108.74 108.74 43.17
Sites, in units of the cell vectors:
1 Y 0.116 0.116 0.287
2 Y 0.884 0.884 0.713
3 Cd 0.390 0.390 0.069
4 Cd 0.610 0.610 0.931
5 Sb 0.173 0.173 0.705
6 Sb 0.827 0.827 0.295

Its density of states at the Fermi level is 2.5 states/eV/f.u. Its total moment is 0.0 μB/cell.


Arrangement ii

The following is a PBE calculation of a relaxed YCdSb crystal, from the Alexandria database.

a b c (Å): 6.155 5.963 3.873
angles (deg): 74.08 68.69 37.24
Sites, in units of the cell vectors:
1 Y 0.000 0.000 0.000
2 Cd 0.678 0.678 0.322
3 Sb 0.332 0.332 0.668

Its density of states at the Fermi level is 1.9 states/eV/f.u. Its total moment is 0.0 μB/cell.


Structures ranked by computed energy, the most stable listed first: arrangement i, arrangement ii.


Arrangement i

The following is a PBE calculation of a relaxed YCdSb crystal, from the Alexandria database.

a b c (Å): 5.056 5.056 5.056
angles (deg): 60.00 60.00 60.00
Sites, in units of the cell vectors:
1 Y 0.000 0.000 0.000
2 Cd 0.500 0.500 0.500
3 Sb 0.250 0.250 0.250

Its density of states at the Fermi level is 3.3 states/eV/f.u. Its total moment is 0.0 μB/cell.


Arrangement ii

The following is a PBE calculation of a relaxed YCdSb crystal, from the Alexandria database.

a b c (Å): 3.495 3.495 7.767
angles (deg): 90.00 90.00 120.00
Sites, in units of the cell vectors:
1 Y 0.000 0.000 0.000
2 Cd 0.667 0.333 0.336
3 Sb 0.333 0.667 0.674

Its density of states at the Fermi level is 2.6 states/eV/f.u. Its total moment is 0.0 μB/cell.


Structures ranked by computed energy, the most stable listed first: arrangement i, arrangement ii.